# ZnRh2W

An optimized crystal structure of ZnRh2W (GGA-PBE, Alexandria via LeMat-Bulk).

Cell: 2.8092 3.6535 5.6607 Å, 90.00 90.00 90.00°
With the nearest neighbours (Å) after each atom.
Element x y z (fractional)
Zn: 0.5000 0.5000 0.7500  8 Rh 2.70, 2 Zn 2.81, 2 W 2.83
W: 0.5000 0.5000 0.2500  8 Rh 2.70, 2 W 2.81, 2 Zn 2.83
Rh: 0.0000 0.0000 0.0000  4 Zn 2.70, 4 W 2.70, 4 Rh 2.81-2.83
Rh: 0.0000 0.0000 0.5000  4 Zn 2.70, 4 W 2.70, 4 Rh 2.81-2.83

Summary:
- VASP energy: -7.482 eV/atom
- Energy relative to the elements: -0.25 eV per atom